The following is a PBE-GGA calculation of a relaxed structure of Y2GaTe6Pb3, from Alexandria via LeMat-Bulk.

Lattice parameters (Å, degrees): 10.1513 10.1513 9.2756 104.13 104.13 25.39
With the nearest neighbours (Å) after each atom.
Fractional coordinates of all 12 atoms:
Y1 0.1670 0.1670 0.3460  6 Te 3.07-3.14
Y2 0.8330 0.8330 0.6540  6 Te 3.07-3.14
Ga1 0.5000 0.5000 0.0000  6 Te 3.17-3.24
Te1 0.0072 0.0072 0.2466  1 Y 3.07, 2 Ga 3.17, 3 Pb 3.20-3.27
Te2 0.3290 0.3290 0.4159  3 Y 3.11-3.13, 3 Pb 3.28-3.36
Te3 0.3315 0.3315 0.8914  2 Y 3.14, 1 Ga 3.24, 3 Pb 3.26-3.33
Te4 0.6685 0.6685 0.1086  2 Y 3.14, 1 Ga 3.24, 3 Pb 3.26-3.33
Te5 0.6710 0.6710 0.5841  3 Y 3.11-3.13, 3 Pb 3.28-3.36
Te6 0.9928 0.9928 0.7534  1 Y 3.07, 2 Ga 3.17, 3 Pb 3.20-3.27
Pb1 0.1597 0.1597 0.8486  6 Te 3.20-3.36
Pb2 0.5000 0.5000 0.5000  6 Te 3.27-3.28
Pb3 0.8403 0.8403 0.1514  6 Te 3.20-3.36

raw formation energy	-0.693	eV/atom
total energy	-54.25	eV/cell
D(E_F)	0.38	states/eV/atom
symmetry	No. 12

The following is a PBE-GGA calculation of a relaxed structure of ThGaPb2, from Alexandria via LeMat-Bulk.

Lattice parameters (Å, degrees): 11.4325 11.4325 11.4325 17.65 17.65 17.65
With the nearest neighbours (Å) after each atom.
Fractional coordinates of all 4 atoms:
Th1 0.0000 0.0000 0.0000  2 Pb 3.30, 6 Th 3.51
Ga1 0.5000 0.5000 0.5000  6 Pb 3.08
Pb1 0.0978 0.0978 0.0978  3 Ga 3.08, 1 Th 3.30
Pb2 0.9022 0.9022 0.9022  3 Ga 3.08, 1 Th 3.30

total energy	-17.02	eV/cell
D(E_F)	1.06	states/eV/atom
ΔH_f (0 K)	0.21	eV/atom
symmetry	No. 166